(1)
Below is ZnGa2SiO6 after structural relaxation, with properties calculated at the PBE-GGA level.

abc: 7.0762 7.0762 5.3625
angles: 106.20 106.20 99.09
Last column: nearest neighbours and their distance in Å.
Sites, in units of the cell vectors:
Zn 0.1068 0.8932 0.7500  2 O 2.03
Zn 0.8932 0.1068 0.2500  2 O 2.03
Ga 0.2794 0.4487 0.8300  4 O 1.85-2.04
Ga 0.4487 0.2794 0.3300  4 O 1.85-2.04
Ga 0.5513 0.7206 0.6700  4 O 1.85-2.04
Ga 0.7206 0.5513 0.1700  4 O 1.85-2.04
Si 0.1809 0.8191 0.2500  4 O 1.63-1.68
Si 0.8191 0.1809 0.7500  4 O 1.63-1.68
O 0.0310 0.2054 0.6669  1 Si 1.68
O 0.1477 0.6496 0.9526  1 Si 1.63
O 0.2054 0.0310 0.1669  1 Si 1.68
O 0.3082 0.4454 0.4957  2 Ga 1.85
O 0.3504 0.8523 0.5474  1 Si 1.63
O 0.4454 0.3082 0.9957  2 Ga 1.85
O 0.5546 0.6918 0.0043  2 Ga 1.85
O 0.6496 0.1477 0.4526  1 Si 1.63
O 0.6918 0.5546 0.5043  2 Ga 1.85
O 0.7946 0.9690 0.8331  1 Si 1.68
O 0.8523 0.3504 0.0474  1 Si 1.63
O 0.9690 0.7946 0.3331  1 Si 1.68

space-group type = C2/c
N(E_F) = 0.00 states/eV/cell
electronic total energy = -6.183 eV per atom
formation energy (no corrections) = -19.33 eV/f.u.

=====

(2)
Below is ZnGaSi2O6 after structural relaxation, with properties calculated at the PBE-GGA level.

abc: 6.7782 6.7782 5.4068
angles: 104.19 104.19 85.19
Last column: nearest neighbours and their distance in Å.
Sites, in units of the cell vectors:
Zn 0.1088 0.8912 0.7500  4 O 2.08-2.10
Zn 0.8912 0.1088 0.2500  4 O 2.08-2.10
Ga 0.2526 0.7474 0.2500  4 O 2.03-2.11
Ga 0.7474 0.2526 0.7500  4 O 2.03-2.11
Si 0.2041 0.3793 0.7608  4 O 1.63-1.67
Si 0.3793 0.2041 0.2608  4 O 1.63-1.67
Si 0.6207 0.7959 0.7392  4 O 1.63-1.67
Si 0.7959 0.6207 0.2392  4 O 1.63-1.67
O 0.0214 0.2076 0.6517  1 Si 1.67
O 0.1242 0.6136 0.8531  1 Si 1.63
O 0.2076 0.0214 0.1517  1 Si 1.67
O 0.3188 0.3607 0.5201  2 Si 1.65
O 0.3607 0.3188 0.0201  2 Si 1.65
O 0.3864 0.8758 0.6469  1 Si 1.63
O 0.6136 0.1242 0.3531  1 Si 1.63
O 0.6393 0.6812 0.9799  2 Si 1.65
O 0.6812 0.6393 0.4799  2 Si 1.65
O 0.7924 0.9786 0.8483  1 Si 1.67
O 0.8758 0.3864 0.1469  1 Si 1.63
O 0.9786 0.7924 0.3483  1 Si 1.67

space-group type = C2/c
N(E_F) = 5.08 states/eV/cell
electronic total energy = -6.600 eV per atom
formation energy (no corrections) = -21.11 eV/f.u.

=====

(3)
Below is SmGaO after structural relaxation, with properties calculated at the PBE-GGA level.

abc: 3.3864 3.3864 9.1186
angles: 90.00 90.00 90.00
Last column: nearest neighbours and their distance in Å.
Sites, in units of the cell vectors:
Sm 0.2500 0.2500 0.1608  5 O 2.37-2.46
Sm 0.7500 0.7500 0.8392  5 O 2.37-2.46
Ga 0.2500 0.2500 0.5728  4 Ga 2.74, 1 O 2.99
Ga 0.7500 0.7500 0.4272  4 Ga 2.74, 1 O 2.99
O 0.2500 0.2500 0.9007  5 Sm 2.37-2.46
O 0.7500 0.7500 0.0993  5 Sm 2.37-2.46

space-group type = P4/nmm
N(E_F) = 2.29 states/eV/cell
electronic total energy = -6.136 eV per atom
energy above the most stable polymorph in this dataset = 113.9 meV per atom
formation energy (no corrections) = -5.70 eV/f.u.

=====

(4)
Below is SmGaO after structural relaxation, with properties calculated at the PBE-GGA level.

abc: 3.9513 3.9513 7.8907
angles: 90.00 90.00 90.00
Last column: nearest neighbours and their distance in Å.
Sites, in units of the cell vectors:
Sm 0.2500 0.2500 0.1461  4 O 2.29
Sm 0.7500 0.7500 0.8539  4 O 2.29
Ga 0.2500 0.2500 0.5561  4 Ga 2.93, 1 Sm 3.24
Ga 0.7500 0.7500 0.4439  4 Ga 2.93, 1 Sm 3.24
O 0.2500 0.7500 0.0000  4 Sm 2.29
O 0.7500 0.2500 0.0000  4 Sm 2.29

space-group type = P4/nmm
N(E_F) = 2.22 states/eV/cell
electronic total energy = -6.250 eV per atom
energy above the most stable polymorph in this dataset = 0.0 meV per atom
formation energy (no corrections) = -6.05 eV/f.u.

=====

(5)
Below is SmGaO3 after structural relaxation, with properties calculated at the PBE-GGA level.

abc: 3.8614 3.8614 3.8614
angles: 90.00 90.00 90.00
Last column: nearest neighbours and their distance in Å.
Sites, in units of the cell vectors:
Sm 0.0000 0.0000 0.0000  12 O 2.73
Ga 0.5000 0.5000 0.5000  6 O 1.93
O 0.0000 0.5000 0.5000  2 Ga 1.93
O 0.5000 0.0000 0.5000  2 Ga 1.93
O 0.5000 0.5000 0.0000  2 Ga 1.93

space-group type = Pm-3m
N(E_F) = 0.00 states/eV/cell
electronic total energy = -7.019 eV per atom
formation energy (no corrections) = -12.47 eV/f.u.

=====

(6)
Below is Sm7Ga2O2 after structural relaxation, with properties calculated at the PBE-GGA level.

abc: 7.0566 7.0566 6.4401
angles: 95.75 95.75 61.59
Last column: nearest neighbours and their distance in Å.
Sites, in units of the cell vectors:
Sm 0.0000 0.0000 0.0000  2 O 2.39
Sm 0.0371 0.5238 0.2414  2 O 2.43-2.51
Sm 0.4559 0.4559 0.7376  2 Ga 2.94
Sm 0.4762 0.9629 0.7586  2 O 2.43-2.51
Sm 0.5238 0.0371 0.2414  2 O 2.43-2.51
Sm 0.5441 0.5441 0.2624  2 Ga 2.94
Sm 0.9629 0.4762 0.7586  2 O 2.43-2.51
Ga 0.1655 0.8345 0.5000  1 Ga 2.39
Ga 0.8345 0.1655 0.5000  1 Ga 2.39
O 0.1980 0.1980 0.0131  5 Sm 2.39-2.51
O 0.8020 0.8020 0.9869  5 Sm 2.39-2.51

space-group type = C2/m
N(E_F) = 11.47 states/eV/cell
electronic total energy = -5.463 eV per atom
formation energy (no corrections) = -11.09 eV/f.u.

=====

> What is the formula in the third record?

SmGaO

=====

What did the second record say?
Below is ZnGaSi2O6 after structural relaxation, with properties calculated at the PBE-GGA level.

abc: 6.7782 6.7782 5.4068
angles: 104.19 104.19 85.19
Last column: nearest neighbours and their distance in Å.
Sites, in units of the cell vectors:
Zn 0.1088 0.8912 0.7500  4 O 2.08-2.10
Zn 0.8912 0.1088 0.2500  4 O 2.08-2.10
Ga 0.2526 0.7474 0.2500  4 O 2.03-2.11
Ga 0.7474 0.2526 0.7500  4 O 2.03-2.11
Si 0.2041 0.3793 0.7608  4 O 1.63-1.67
Si 0.3793 0.2041 0.2608  4 O 1.63-1.67
Si 0.6207 0.7959 0.7392  4 O 1.63-1.67
Si 0.7959 0.6207 0.2392  4 O 1.63-1.67
O 0.0214 0.2076 0.6517  1 Si 1.67
O 0.1242 0.6136 0.8531  1 Si 1.63
O 0.2076 0.0214 0.1517  1 Si 1.67
O 0.3188 0.3607 0.5201  2 Si 1.65
O 0.3607 0.3188 0.0201  2 Si 1.65
O 0.3864 0.8758 0.6469  1 Si 1.63
O 0.6136 0.1242 0.3531  1 Si 1.63
O 0.6393 0.6812 0.9799  2 Si 1.65
O 0.6812 0.6393 0.4799  2 Si 1.65
O 0.7924 0.9786 0.8483  1 Si 1.67
O 0.8758 0.3864 0.1469  1 Si 1.63
O 0.9786 0.7924 0.3483  1 Si 1.67

space-group type = C2/c
N(E_F) = 5.08 states/eV/cell
electronic total energy = -6.600 eV per atom
formation energy (no corrections) = -21.11 eV/f.u.

=====

What did the fourth record say?
Below is SmGaO after structural relaxation, with properties calculated at the PBE-GGA level.

abc: 3.9513 3.9513 7.8907
angles: 90.00 90.00 90.00
Last column: nearest neighbours and their distance in Å.
Sites, in units of the cell vectors:
Sm 0.2500 0.2500 0.1461  4 O 2.29
Sm 0.7500 0.7500 0.8539  4 O 2.29
Ga 0.2500 0.2500 0.5561  4 Ga 2.93, 1 Sm 3.24
Ga 0.7500 0.7500 0.4439  4 Ga 2.93, 1 Sm 3.24
O 0.2500 0.7500 0.0000  4 Sm 2.29
O 0.7500 0.2500 0.0000  4 Sm 2.29

space-group type = P4/nmm
N(E_F) = 2.22 states/eV/cell
electronic total energy = -6.250 eV per atom
energy above the most stable polymorph in this dataset = 0.0 meV per atom
formation energy (no corrections) = -6.05 eV/f.u.